1.
First-principles (GGA-PBE) data for a relaxed Dy3Ir crystal, as listed in Alexandria via LeMat-Bulk.

Unit cell a=6.3018 b=11.5550 c=11.5550 alpha=90.00 beta=90.00 gamma=90.00
Atoms (fractional coordinates):
Ir  0.7399  0.6949  0.5656
Ir  0.2399  0.0656  0.8051
Ir  0.7601  0.1949  0.0656
Ir  0.2601  0.4344  0.6949
Ir  0.7601  0.8051  0.9344
Ir  0.2601  0.5656  0.3051
Ir  0.2399  0.9344  0.1949
Ir  0.7399  0.3051  0.4344
Dy  0.7754  0.5568  0.3668
Dy  0.4432  0.9156  0.6358
Dy  0.5568  0.6358  0.0844
Dy  0.2246  0.6332  0.5568
Dy  0.5488  0.3436  0.2156
Dy  0.7754  0.4432  0.6332
Dy  0.9512  0.1564  0.2844
Dy  0.9432  0.1358  0.5844
Dy  0.4432  0.0844  0.3642
Dy  0.5568  0.3642  0.9156
Dy  0.2754  0.8668  0.9432
Dy  0.9512  0.8436  0.7156
Dy  0.0568  0.5844  0.8642
Dy  0.0488  0.2844  0.8436
Dy  0.0488  0.7156  0.1564
Dy  0.5488  0.6564  0.7844
Dy  0.4512  0.7844  0.3436
Dy  0.7246  0.9432  0.1332
Dy  0.4512  0.2156  0.6564
Dy  0.2754  0.1332  0.0568
Dy  0.2246  0.3668  0.4432
Dy  0.9432  0.8642  0.4156
Dy  0.0568  0.4156  0.1358
Dy  0.7246  0.0568  0.8668

Values from the calculation:
calculated formation energy: -0.5183 eV per atom

---

2.
First-principles (GGA-PBE) data for a relaxed PmErI3 crystal, as listed in Alexandria via LeMat-Bulk.

Unit cell a=3.9287 b=8.4196 c=12.4656 alpha=117.75 beta=90.00 gamma=90.00
Atoms (fractional coordinates):
I  0.2500  0.5561  0.7706
I  0.2500  0.1904  0.9087
I  0.7500  0.4439  0.2294
I  0.2500  0.2065  0.4076
I  0.7500  0.8096  0.0913
I  0.7500  0.7935  0.5924
Er  0.7500  0.8776  0.8654
Er  0.2500  0.1224  0.1346
Pm  0.7500  0.8814  0.3661
Pm  0.2500  0.1186  0.6339

Values from the calculation:
formation energy without anion corrections: -0.968 eV/atom

---

3.
First-principles (GGA-PBE) data for a relaxed NaSiGe3 crystal, as listed in Alexandria via LeMat-Bulk.

Unit cell a=4.9942 b=4.9942 c=4.9942 alpha=90.00 beta=90.00 gamma=90.00
Atoms (fractional coordinates):
Ge  0.0000  0.0000  0.5000
Ge  0.5000  0.0000  0.0000
Ge  0.0000  0.5000  0.0000
Si  0.5000  0.5000  0.5000
Na  0.0000  0.0000  0.0000

Values from the calculation:
formation energy without anion corrections: 1.243 eV/atom